(1)
LaSmHoTm3 after structural relaxation. Source: Alexandria via LeMat-Bulk, functional PBE.

total energy = -4.50 eV/atom

Cell lengths 5.804, 6.450, 11.615 Å; angles 90.00, 90.00, 116.74 degrees
Fractional coordinates of all 12 atoms:
La  0.503  0.006  0.750
La  0.497  0.994  0.250
Sm  0.000  0.000  0.500
Sm  0.000  0.000  0.000
Ho  0.825  0.650  0.750
Ho  0.175  0.350  0.250
Tm  0.676  0.351  0.497
Tm  0.324  0.649  0.503
Tm  0.324  0.649  0.997
Tm  0.676  0.351  0.003
Tm  0.171  0.341  0.750
Tm  0.829  0.659  0.250

(2)
Mg2In7Pb after structural relaxation. Source: Alexandria via LeMat-Bulk, functional PBE.

total energy = -2.43 eV/atom

Cell lengths 4.960, 8.762, 8.762 Å; angles 122.13, 90.00, 90.00 degrees
Fractional coordinates of all 10 atoms:
Mg  0.500  0.700  0.300
Mg  0.500  0.300  0.700
In  0.000  0.794  0.206
In  0.000  0.206  0.794
In  0.500  0.079  0.300
In  0.500  0.921  0.700
In  0.500  0.300  0.079
In  0.500  0.700  0.921
In  0.500  0.500  0.500
Pb  0.000  0.000  0.000

(3)
CaNbGe after structural relaxation. Source: Alexandria via LeMat-Bulk, functional PBE.

total energy = -5.79 eV/atom

Cell lengths 3.021, 15.320, 5.572 Å; angles 90.00, 100.51, 90.00 degrees
Fractional coordinates of all 12 atoms:
Nb  0.747  0.000  0.263
Nb  0.253  0.000  0.737
Nb  0.747  0.500  0.763
Nb  0.253  0.500  0.237
Ca  0.500  0.182  0.500
Ca  0.500  0.818  0.500
Ca  0.500  0.682  0.000
Ca  0.500  0.318  0.000
Ge  0.000  0.132  0.000
Ge  0.000  0.868  0.000
Ge  0.000  0.632  0.500
Ge  0.000  0.368  0.500

(4)
La2DyHg after structural relaxation. Source: Alexandria via LeMat-Bulk, functional PBE.

total energy = -3.79 eV/atom
polymorph energy (0 for the lowest one) = 0.141 eV/atom

Cell lengths 5.614, 5.614, 5.614 Å; angles 60.00, 60.00, 60.00 degrees
Fractional coordinates of all 4 atoms:
La  0.250  0.250  0.250
La  0.750  0.750  0.750
Hg  0.500  0.500  0.500
Dy  0.000  0.000  0.000

(5)
PaAlAu2 after structural relaxation. Source: Alexandria via LeMat-Bulk, functional PBE.

total energy = -5.30 eV/atom

Cell lengths 3.198, 3.198, 7.579 Å; angles 90.00, 90.00, 90.00 degrees
Fractional coordinates of all 4 atoms:
Pa  0.500  0.500  0.500
Au  0.000  0.000  0.789
Au  0.000  0.000  0.211
Al  0.500  0.500  0.000

(6)
Ca2AlAg6Sn after structural relaxation. Source: Alexandria via LeMat-Bulk, functional PBE.

total energy = -2.85 eV/atom

Cell lengths 7.157, 7.156, 7.167 Å; angles 59.93, 59.93, 89.91 degrees
Fractional coordinates of all 10 atoms:
Ca  0.250  0.750  0.500
Ca  0.750  0.250  0.500
Al  0.500  0.500  0.000
Ag  0.260  0.740  0.000
Ag  0.740  0.740  0.000
Ag  0.260  0.260  0.480
Ag  0.740  0.260  0.000
Ag  0.260  0.260  0.000
Ag  0.740  0.740  0.520
Sn  0.000  0.000  0.000

(7)
La3Pd2Pb4 after structural relaxation. Source: Alexandria via LeMat-Bulk, functional PBE.

total energy = -5.03 eV/atom

Cell lengths 4.933, 6.386, 9.542 Å; angles 68.15, 75.02, 67.28 degrees
Fractional coordinates of all 9 atoms:
La  0.325  0.701  0.650
La  0.000  0.000  0.000
La  0.675  0.299  0.350
Pd  0.389  0.924  0.298
Pd  0.611  0.076  0.702
Pb  0.308  0.338  0.046
Pb  0.692  0.662  0.954
Pb  0.028  0.300  0.644
Pb  0.972  0.700  0.356

(8)
Sm2Al5Pt4 after structural relaxation. Source: Alexandria via LeMat-Bulk, functional PBE.

total energy = -5.78 eV/atom

Cell lengths 5.494, 5.470, 8.459 Å; angles 80.61, 71.05, 59.85 degrees
Fractional coordinates of all 11 atoms:
Sm  0.871  0.000  0.258
Sm  0.129  0.000  0.742
Al  0.500  0.000  0.000
Al  0.000  0.500  0.000
Al  0.500  0.500  0.000
Al  0.250  0.500  0.500
Al  0.750  0.500  0.500
Pt  0.473  0.315  0.738
Pt  0.527  0.685  0.262
Pt  0.212  0.315  0.262
Pt  0.788  0.685  0.738